(1)
Tm4PbSe: optimized geometry, PBE.

Values from the calculation:
As for the symmetry: Cmcm, No. 63. For the formation energy (no corrections), the calculation gives -561 meV/atom.

extended XYZ file:
```
12
Lattice="2.7137 -10.0718 0.0000 2.7137 10.0718 0.0000 0.0000 0.0000 6.2019" Properties=species:S:1:pos:R:3 pbc="T T T"
Tm 2.7137 8.8768 4.6514
Tm 2.7137 5.8465 3.1242
Tm 2.7137 5.8465 6.1786
Tm 2.7137 2.4994 4.6514
Tm 2.7137 -2.4994 1.5505
Tm 2.7137 -5.8465 0.0233
Tm 2.7137 -5.8465 3.0776
Tm 2.7137 -8.8768 1.5505
Pb 2.7137 2.8677 1.5505
Pb 2.7137 -2.8677 4.6514
Se 2.7137 8.4932 1.5505
Se 2.7137 -8.4932 4.6514
```

(2)
La3Ni7Pd2: optimized geometry, PBE.

Values from the calculation:
As for the symmetry: R-3m, No. 166. The formation energy comes out at -0.405 eV per atom.

extended XYZ file:
```
12
Lattice="2.5719 1.4849 8.5676 -2.5719 1.4849 8.5676 0.0000 -2.9698 8.5676" Properties=species:S:1:pos:R:3 pbc="T T T"
La 0.0000 0.0000 0.0000
La 0.0000 0.0000 3.5513
La 0.0000 0.0000 22.1516
Ni -1.2795 -0.7387 10.7696
Ni 0.0000 -1.4774 14.9333
Ni -1.2795 0.7387 14.9333
Ni 0.0000 0.0000 12.8515
Ni 1.2795 -0.7387 10.7696
Ni 0.0000 1.4774 10.7696
Ni 1.2795 0.7387 14.9333
Pd 0.0000 0.0000 8.5388
Pd 0.0000 0.0000 17.1641
```

(3)
NdTl2Pd8: optimized geometry, PBE.

Values from the calculation:
As for the symmetry: C2/m, No. 12. The formation energy comes out at -0.295 eV per atom.

extended XYZ file:
```
11
Lattice="3.7924 -7.1717 0.0000 3.7924 7.1717 0.0000 -3.2779 0.0000 3.7667" Properties=species:S:1:pos:R:3 pbc="T T T"
Nd 0.0000 0.0000 0.0000
Tl 2.1535 2.6445 1.8834
Tl 2.1535 -2.6445 1.8834
Pd -0.6573 1.9263 2.8203
Pd 3.7924 4.3233 0.0000
Pd -0.6573 -1.9263 2.8203
Pd 1.2514 0.0000 2.7464
Pd 3.0555 0.0000 1.0203
Pd 4.9642 1.9263 0.9464
Pd 3.7924 -4.3233 0.0000
Pd 4.9642 -1.9263 0.9464
```

(4)
PuAgH2O6: optimized geometry, PBE.

Values from the calculation:
As for the symmetry: C2/c, No. 15. Its raw total energy is -6.428 eV/atom.

extended XYZ file:
```
20
Lattice="5.2526 -4.0245 0.0000 5.2526 4.0245 0.0000 -1.3937 0.0000 5.8604" Properties=species:S:1:pos:R:3 pbc="T T T"
Pu 4.2073 2.4764 4.3953
Pu 4.9042 -2.4764 1.4651
Ag 4.9042 1.0017 1.4651
Ag 4.2073 -1.0017 4.3953
H 1.0176 0.9571 3.9348
H 1.7145 -0.9571 1.0046
H 7.3970 0.9571 4.8557
H 8.0939 -0.9571 1.9255
O 3.7722 3.2126 2.2013
O 2.4816 2.3592 4.9079
O 6.0361 3.2126 0.7288
O 3.6299 0.8969 3.0859
O 5.9330 2.3592 3.8826
O 4.7847 0.8969 5.7046
O 4.3267 -0.8969 0.1558
O 3.1785 -2.3592 1.9777
O 5.4816 -0.8969 2.7744
O 3.0754 -3.2126 5.1315
O 6.6299 -2.3592 0.9524
O 5.3392 -3.2126 3.6590
```

Please write out number 2 again, unchanged.
La3Ni7Pd2: optimized geometry, PBE.

Values from the calculation:
As for the symmetry: R-3m, No. 166. The formation energy comes out at -0.405 eV per atom.

extended XYZ file:
```
12
Lattice="2.5719 1.4849 8.5676 -2.5719 1.4849 8.5676 0.0000 -2.9698 8.5676" Properties=species:S:1:pos:R:3 pbc="T T T"
La 0.0000 0.0000 0.0000
La 0.0000 0.0000 3.5513
La 0.0000 0.0000 22.1516
Ni -1.2795 -0.7387 10.7696
Ni 0.0000 -1.4774 14.9333
Ni -1.2795 0.7387 14.9333
Ni 0.0000 0.0000 12.8515
Ni 1.2795 -0.7387 10.7696
Ni 0.0000 1.4774 10.7696
Ni 1.2795 0.7387 14.9333
Pd 0.0000 0.0000 8.5388
Pd 0.0000 0.0000 17.1641
```

Please write out number 1 again, unchanged.
Tm4PbSe: optimized geometry, PBE.

Values from the calculation:
As for the symmetry: Cmcm, No. 63. For the formation energy (no corrections), the calculation gives -561 meV/atom.

extended XYZ file:
```
12
Lattice="2.7137 -10.0718 0.0000 2.7137 10.0718 0.0000 0.0000 0.0000 6.2019" Properties=species:S:1:pos:R:3 pbc="T T T"
Tm 2.7137 8.8768 4.6514
Tm 2.7137 5.8465 3.1242
Tm 2.7137 5.8465 6.1786
Tm 2.7137 2.4994 4.6514
Tm 2.7137 -2.4994 1.5505
Tm 2.7137 -5.8465 0.0233
Tm 2.7137 -5.8465 3.0776
Tm 2.7137 -8.8768 1.5505
Pb 2.7137 2.8677 1.5505
Pb 2.7137 -2.8677 4.6514
Se 2.7137 8.4932 1.5505
Se 2.7137 -8.4932 4.6514
```